# Hg2Rh3PbF12

A relaxed structure of Hg2Rh3PbF12 (PBE, the Alexandria database).

## Properties
total magnetic moment: 3.11 μB per cell
formation energy from raw total energies: -1.476 eV/atom
theoretical density: 7.000 g/cm3
VASP energy: -226.17 eV/cell

a b c (Å): 7.8537 7.8537 15.2548
angles (deg): 90.00 90.00 120.00
Space group R-3m (No. 166, hexagonal axes)
Asymmetric unit:
Hg 0.0000 0.0000 0.0895 (multiplicity 6)
Rh 0.0000 0.5000 0.0000 (multiplicity 9)
Pb 0.0000 0.0000 0.5000 (multiplicity 3)
F 0.0590 0.5295 0.8708 (multiplicity 18)
F 0.0880 0.5440 0.3061 (multiplicity 18)